# PBE with a Hubbard U Na2CrIn2O6, optimized geometry
# SG = C2/m (12)
# uncorrected energy = -62.7 eV per formula unit
data_Na2CrIn2O6
_cell_length_a 5.474
_cell_length_b 5.474
_cell_length_c 5.855
_cell_angle_alpha 98.74
_cell_angle_beta 98.74
_cell_angle_gamma 119.11
_space_group_name_H-M_alt 'P 1'
_space_group_IT_number 1
loop_
_space_group_symop_operation_xyz
'x,y,z'
loop_
_atom_site_label
_atom_site_type_symbol
_atom_site_fract_x
_atom_site_fract_y
_atom_site_fract_z
O1 O 0.235 0.235 0.304
O2 O 0.635 0.943 0.305
O3 O 0.765 0.765 0.696
In1 In 0.336 0.664 0.500
Na1 Na 0.163 0.837 0.000
In2 In 0.664 0.336 0.500
O4 O 0.057 0.365 0.695
Na2 Na 0.837 0.163 0.000
O5 O 0.365 0.057 0.695
Cr1 Cr 0.000 0.000 0.500
O6 O 0.943 0.635 0.305